The following is a PBE-GGA calculation of crystalline Sm3Ni3Ir at its relaxed geometry, from Alexandria.

Unit cell a=5.3460 b=5.3460 c=13.0919 alpha=90.00 beta=90.00 gamma=132.46
Sites, in units of the cell vectors:
Sm: 0.0166 0.9834 0.7500
Sm: 0.2747 0.7253 0.1009
Sm: 0.2747 0.7253 0.3991
Sm: 0.7253 0.2747 0.6009
Sm: 0.7253 0.2747 0.8991
Sm: 0.9834 0.0166 0.2500
Ni: 0.3124 0.6876 0.7500
Ni: 0.4353 0.5647 0.5867
Ni: 0.4353 0.5647 0.9133
Ni: 0.5647 0.4353 0.0867
Ni: 0.5647 0.4353 0.4133
Ni: 0.6876 0.3124 0.2500
Ir: 0.0000 0.0000 0.0000
Ir: 0.0000 0.0000 0.5000

Output
- Calculated total energy: -0.4562 Ry/atom
- Density of states at the Fermi level: 0.702 states/eV per atom
- Volume: 276.0 Å³ per cell
- Space-group type: Cmcm (63)
- Theoretical density: 9858 kg/m³
- DFT formation energy: -0.441 eV/atom